# 1
# YHfAg2

A relaxed structure of YHfAg2 (GGA-PBE, the Alexandria database).

Calculated values
Energy above the most stable polymorph in this dataset   0 meV per atom
E_form   -0.08 eV per atom
DFT total energy   -5.61 eV/atom
Fermi-level density of states   4.55 states/eV/cell

a b c (Å): 3.4979 3.4979 7.1739
angles (deg): 90.00 90.00 90.00
Last column: nearest neighbours and their distance in Å.
Fractional coordinates of all 4 atoms:
Y: 0.0000 0.0000 0.0000  8 Ag 3.18, 4 Y 3.50
Hf: 0.0000 0.0000 0.5000  8 Ag 2.94
Ag: 0.5000 0.5000 0.2775  4 Hf 2.94, 4 Y 3.18, 1 Ag 3.19
Ag: 0.5000 0.5000 0.7225  4 Hf 2.94, 4 Y 3.18, 1 Ag 3.19

***

# 2
# YHfAg

A relaxed structure of YHfAg (GGA-PBE, the Alexandria database).

Calculated values
Energy above the most stable polymorph in this dataset   76 meV per atom
E_form   -0.04 eV per atom
DFT total energy   -6.47 eV/atom
Fermi-level density of states   15.36 states/eV/cell

a b c (Å): 6.8311 3.3473 12.3061
angles (deg): 90.00 90.00 90.00
Last column: nearest neighbours and their distance in Å.
Fractional coordinates of all 12 atoms:
Y: 0.1352 0.2500 0.0935  4 Ag 3.07-3.08, 3 Hf 3.25-3.27, 4 Y 3.35-3.39
Y: 0.3648 0.7500 0.5935  4 Ag 3.07-3.08, 3 Hf 3.25-3.27, 4 Y 3.35-3.39
Y: 0.6352 0.2500 0.4065  4 Ag 3.07-3.08, 3 Hf 3.25-3.27, 4 Y 3.35-3.39
Y: 0.8648 0.7500 0.9065  4 Ag 3.07-3.08, 3 Hf 3.25-3.27, 4 Y 3.35-3.39
Hf: 0.1109 0.2500 0.4135  4 Ag 3.09-3.16, 4 Hf 3.10-3.35, 3 Y 3.25-3.27
Hf: 0.3891 0.7500 0.9135  4 Ag 3.09-3.16, 4 Hf 3.10-3.35, 3 Y 3.25-3.27
Hf: 0.6109 0.2500 0.0865  4 Ag 3.09-3.16, 4 Hf 3.10-3.35, 3 Y 3.25-3.27
Hf: 0.8891 0.7500 0.5865  4 Ag 3.09-3.16, 4 Hf 3.10-3.35, 3 Y 3.25-3.27
Ag: 0.1303 0.2500 0.7585  4 Y 3.07-3.08, 4 Hf 3.09-3.16, 4 Ag 3.35-3.42
Ag: 0.3697 0.7500 0.2585  4 Y 3.07-3.08, 4 Hf 3.09-3.16, 4 Ag 3.35-3.42
Ag: 0.6303 0.2500 0.7415  4 Y 3.07-3.08, 4 Hf 3.09-3.16, 4 Ag 3.35-3.42
Ag: 0.8697 0.7500 0.2415  4 Y 3.07-3.08, 4 Hf 3.09-3.16, 4 Ag 3.35-3.42

***

- Among the records above, which one has the lowest E_form?
  YHfAg2